This record from the Alexandria database describes a geometry-optimized AlHg2Os structure. The functional is PBE.

As for the formation energy: 0.615 eV/atom. The density of states at the Fermi level is 0.7816 states/eV per atom. The total energy comes out at -3.279 eV per atom.

It has space group Cmmm (No. 65), with a = 5.5123 Å, b = 8.1131 Å, c = 3.2403 Å, α = 90.00°, β = 90.00° and γ = 90.00°. Symmetry generates all atoms from Al at (0.0000, 0.0000, 0.0000), Hg at (0.2500, 0.2500, 0.5000) and Os at (0.0000, 0.5000, 0.0000).

This record from the Alexandria database describes a geometry-optimized ZnReB2 structure. The functional is PBE.

As for the formation energy: 0.861 eV/atom. The density of states at the Fermi level is 0.5238 states/eV per atom. The total energy comes out at -5.909 eV per atom.

It has space group I-42d (No. 122), with a = 5.0824 Å, b = 5.0824 Å, c = 8.8985 Å, α = 90.00°, β = 90.00° and γ = 90.00°. Symmetry generates all atoms from Zn at (0.0000, 0.0000, 0.0000), Re at (0.0000, 0.0000, 0.5000) and B at (0.2198, 0.2500, 0.6250).

This record from the Alexandria database describes a geometry-optimized CeMg2Cd6 structure. The functional is PBE.

As for the formation energy: 0.306 eV/atom. For the polymorph energy (0 for the lowest one), the calculation gives 420 meV/atom. The density of states at the Fermi level is 1.5483 states/eV per atom. The total energy comes out at -1.318 eV per atom.

It has space group Fd-3m (No. 227, origin choice 2), with a = 12.8973 Å, b = 12.8973 Å, c = 12.8973 Å, α = 90.00°, β = 90.00° and γ = 90.00°. Symmetry generates all atoms from Ce at (0.1250, 0.1250, 0.1250), Mg at (0.0000, 0.0000, 0.5000) and Cd at (0.1207, 0.3750, 0.3750).

This record from the Alexandria database describes a geometry-optimized NaGa2Ge2 structure. The functional is PBE.

As for the formation energy: -0.077 eV/atom. For the polymorph energy (0 for the lowest one), the calculation gives 2 meV/atom. The density of states at the Fermi level is 0.3218 states/eV per atom. The total energy comes out at -3.399 eV per atom.

It has space group I4/mmm (No. 139), with a = 4.6229 Å, b = 4.6229 Å, c = 10.2000 Å, α = 90.00°, β = 90.00° and γ = 90.00°. Symmetry generates all atoms from Na at (0.0000, 0.0000, 0.0000), Ga at (0.0000, 0.5000, 0.2500) and Ge at (0.0000, 0.0000, 0.3762).

This record from the Alexandria database describes a geometry-optimized CuOsRu2 structure. The functional is PBE.

As for the formation energy: 0.417 eV/atom. The density of states at the Fermi level is 1.5004 states/eV per atom. The total energy comes out at -8.053 eV per atom.

It has space group P4/mmm (No. 123), with a = 3.8207 Å, b = 3.8207 Å, c = 3.7659 Å, α = 90.00°, β = 90.00° and γ = 90.00°. Symmetry generates all atoms from Cu at (0.0000, 0.0000, 0.0000), Os at (0.5000, 0.5000, 0.0000) and Ru at (0.0000, 0.5000, 0.5000).

This record from the Alexandria database describes a geometry-optimized U2SeN structure. The functional is PBE.

For the polymorph energy (0 for the lowest one), the calculation gives 404 meV/atom. The density of states at the Fermi level is 2.5810 states/eV per atom. The calculation puts the uncorrected formation energy at -0.40 eV/atom. The total energy comes out at -8.995 eV per atom.

It has space group R-3m (No. 166, hexagonal axes), with a = 3.7415 Å, b = 3.7415 Å, c = 23.6673 Å, α = 90.00°, β = 90.00° and γ = 120.00°. Symmetry generates all atoms from U at (0.0000, 0.0000, 0.0846), Se at (0.0000, 0.0000, 0.5000) and N at (0.0000, 0.0000, 0.0000).

This record from the Alexandria database describes a geometry-optimized LiCrCl2 structure. The functional is PBE.

For the polymorph energy (0 for the lowest one), the calculation gives 134 meV/atom. The calculation puts the uncorrected formation energy at -0.90 eV/atom. The total energy comes out at -4.704 eV per atom.

It has space group P-1 (No. 2), with a = 3.7130 Å, b = 7.0260 Å, c = 7.2244 Å, α = 69.60°, β = 82.54° and γ = 89.30°. Symmetry generates all atoms from Li at (0.0712, 0.3755, 0.3314), Cr at (0.4861, 0.9698, 0.1264), Cl at (0.0111, 0.2687, 0.6975) and Cl at (0.3965, 0.7416, 0.7887).

This record from the Alexandria database describes a geometry-optimized Ba2AlO structure. The functional is PBE.

For the polymorph energy (0 for the lowest one), the calculation gives 0 meV/atom. The density of states at the Fermi level is 0.4624 states/eV per atom. The calculation puts the uncorrected formation energy at -1.06 eV/atom. The total energy comes out at -4.192 eV per atom.

It has space group I-42d (No. 122), with a = 7.7683 Å, b = 7.7683 Å, c = 9.4631 Å, α = 90.00°, β = 90.00° and γ = 90.00°. Symmetry generates all atoms from Ba at (0.1479, 0.2500, 0.1250), Al at (0.0000, 0.0000, 0.5000) and O at (0.0000, 0.0000, 0.0000).

This record from the Alexandria database describes a geometry-optimized CaTaIn2Ru structure. The functional is PBE.

As for the formation energy: 2.215 eV/atom. The density of states at the Fermi level is 1.5387 states/eV per atom. The total energy comes out at -3.506 eV per atom.

It has space group P4/mmm (No. 123), with a = 5.3217 Å, b = 5.3217 Å, c = 4.8424 Å, α = 90.00°, β = 90.00° and γ = 90.00°. Symmetry generates all atoms from Ca at (0.0000, 0.0000, 0.0000), Ta at (0.0000, 0.0000, 0.5000), In at (0.0000, 0.5000, 0.0000) and Ru at (0.5000, 0.5000, 0.5000).

This record from the Alexandria database describes a geometry-optimized LaCoNi2 structure. The functional is PBE.

As for the formation energy: -0.184 eV/atom. The density of states at the Fermi level is 1.4603 states/eV per atom. The total energy comes out at -6.083 eV per atom.

It has space group R3m (No. 160, hexagonal axes), with a = 4.1330 Å, b = 4.1330 Å, c = 14.2036 Å, α = 90.00°, β = 90.00° and γ = 120.00°. Symmetry generates all atoms from La at (0.0000, 0.0000, 0.0000), Co at (0.0000, 0.0000, 0.1828), Ni at (0.0000, 0.0000, 0.5023) and Ni at (0.0000, 0.0000, 0.8103).

This record from the Alexandria database describes a geometry-optimized SmY8Tm6 structure. The functional is PBE.

As for the formation energy: 0.245 eV/atom. For the polymorph energy (0 for the lowest one), the calculation gives 56 meV/atom. The density of states at the Fermi level is 1.5168 states/eV per atom. The total energy comes out at -5.306 eV per atom.

It has space group P-3 (No. 147), with a = 9.3570 Å, b = 9.3570 Å, c = 6.5459 Å, α = 90.00°, β = 90.00° and γ = 120.00°. Symmetry generates all atoms from Sm at (0.0000, 0.0000, 0.0000), Y at (0.0284, 0.3398, 0.6005), Y at (0.3333, 0.6667, 0.3161) and Tm at (0.0882, 0.6779, 0.9066).

This record from the Alexandria database describes a geometry-optimized Sr2Bi3SbPd4 structure. The functional is PBE.

The density of states at the Fermi level is 0.5198 states/eV per atom. The calculation puts the uncorrected formation energy at -0.62 eV/atom. The total energy comes out at -4.613 eV per atom.

It has space group P-4m2 (No. 115), with a = 4.8573 Å, b = 4.8573 Å, c = 10.8842 Å, α = 90.00°, β = 90.00° and γ = 90.00°. Symmetry generates all atoms from Sr at (0.0000, 0.5000, 0.2380), Bi at (0.0000, 0.5000, 0.8731), Bi at (0.5000, 0.5000, 0.5000), Sb at (0.0000, 0.0000, 0.5000), Pd at (0.0000, 0.0000, 0.0000), Pd at (0.0000, 0.5000, 0.6222) and Pd at (0.5000, 0.5000, 0.0000).